DFT (PBE) results for a relaxed structure of MoS3Br.

Summary:
DOS at the Fermi energy   5.154 states/eV per cell
E_form (uncorrected)   1470 meV/atom

```
5
Lattice="-2.5553 -3.6974 -1.7167 3.6447 -2.9797 0.9926 -1.8260 -0.7733 4.3835" Properties=species:S:1:pos:R:3 pbc="T T T"
Mo -0.3683 -3.7252 1.8297
Br 0.0000 0.0000 0.0000
S 1.8223 -1.4898 0.4963
S -0.9130 -0.3867 2.1918
S -1.2776 -1.8487 -0.8583
```

---

DFT (PBE) results for a relaxed structure of Sr2CaHgPt.

Summary:
Calculated formation energy   -49.5 kJ per mole of atoms
DOS at the Fermi energy   2.530 states/eV per cell

```
5
Lattice="-0.8779 -5.8115 0.4240 5.8145 -0.8457 0.4470 -0.3552 0.4533 5.4778" Properties=species:S:1:pos:R:3 pbc="T T T"
Sr -0.4389 -2.9057 0.2120
Pt 0.0000 0.0000 0.0000
Ca -0.1776 0.2266 2.7389
Sr 2.9073 -0.4229 0.2235
Hg 2.2907 -3.1020 3.1744
```

---

DFT (PBE) results for a relaxed structure of UBi2F11.

Summary:
DOS at the Fermi energy   3.967 states/eV per cell
E_form (uncorrected)   -2857 meV/atom

```
28
Lattice="7.4963 0.0000 3.9073 3.4886 7.6843 2.4515 0.1877 -0.1668 8.7844" Properties=species:S:1:pos:R:3 pbc="T T T"
F 10.0494 6.3314 9.9211
U 8.3795 5.6381 11.3574
F 1.6527 0.5691 2.5472
F 1.8875 1.5799 7.8787
F 3.5698 2.3243 5.7224
F 7.9708 5.1117 4.7645
F 6.3471 6.0831 11.8298
F 4.3960 0.0557 8.0876
Bi 7.1818 5.2239 6.9003
Bi 3.9908 2.2936 8.2428
F 7.4253 3.5363 11.4204
F 9.5199 6.9484 12.5960
F 9.2851 5.9376 7.2644
F 3.7474 3.9812 3.7227
U 2.7932 1.8794 3.7858
F 5.5863 3.7588 7.5716
F 2.5517 4.3279 7.6756
F 3.2018 2.4059 10.3786
F 7.6028 5.1932 9.4208
F 4.8255 1.4344 3.3133
F 1.1232 1.1861 5.2221
F 5.8174 2.0121 9.4837
F 5.3552 5.5054 5.6595
F 0.0000 0.0000 0.0000
F 6.7766 7.4618 7.0556
Bi 3.8522 6.2191 4.1438
F 8.6209 3.1896 7.4676
Bi 7.3205 1.2984 10.9993
```

---

DFT (PBE) results for a relaxed structure of RbLi6Sn12.

Summary:
Calculated formation energy   -14.5 kJ per mole of atoms
DOS at the Fermi energy   9.680 states/eV per cell

```
19
Lattice="8.1488 -0.0087 -0.0122 -2.0284 7.8923 -0.0122 -2.0284 -2.6127 7.4473" Properties=species:S:1:pos:R:3 pbc="T T T"
Rb 0.0000 0.0000 0.0000
Sn 2.1777 0.1691 3.0301
Sn -1.8763 1.6318 6.5864
Sn 1.9143 5.1018 4.3928
Sn 2.0460 -1.4133 6.5864
Li 0.2523 0.3250 5.3180
Sn -0.3760 2.1517 3.0301
Li 0.2523 4.9138 2.0596
Li 3.8397 4.9459 2.1048
Sn 1.9143 2.4658 6.2646
Sn 5.9684 -0.4096 3.7114
Sn 4.4681 3.1193 4.3928
Li 3.8397 0.3571 5.3633
Sn -1.8763 5.6806 3.7114
Li -0.6058 3.8084 5.3633
Li 4.6979 1.4625 2.0596
Sn 2.0460 6.6842 0.8365
Sn 5.9684 3.6391 0.8365
Sn 2.1777 2.8051 1.1583
```

---

DFT (PBE) results for a relaxed structure of CdAsSe2Br.

Summary:
DOS at the Fermi energy   4.290 states/eV per cell
E_form (uncorrected)   609 meV/atom

```
5
Lattice="-2.9599 -4.1473 1.2653 2.8547 -0.7107 4.3482 -3.2406 3.1174 2.6371" Properties=species:S:1:pos:R:3 pbc="T T T"
Cd 0.0000 0.0000 0.0000
Se -1.4799 -2.0736 0.6327
Br -1.6203 1.5587 1.3186
As -1.6729 -0.8703 4.1253
Se 1.4274 -0.3554 2.1741
```

---

DFT (PBE) results for a relaxed structure of TmPuU2As4.

Summary:
Calculated formation energy   -96.6 kJ per mole of atoms
DOS at the Fermi energy   20.033 states/eV per cell

```
8
Lattice="-3.7977 0.9504 -1.1041 -2.4865 -5.1152 4.1490 0.4268 6.0875 3.7721" Properties=species:S:1:pos:R:3 pbc="T T T"
As -2.4199 0.7138 1.4456
As -3.4374 1.2090 5.3714
U -1.6854 3.5190 1.3340
As -0.3069 3.2747 3.8743
As -1.7528 -2.3024 4.0468
U -1.0298 0.4862 3.9606
Tm -3.1421 -2.0824 1.5225
Pu 0.0000 0.0000 0.0000
```

---

DFT (PBE) results for a relaxed structure of PmNpZnOs.

Summary:
Calculated formation energy   12.3 kJ per mole of atoms
DOS at the Fermi energy   10.744 states/eV per cell

```
4
Lattice="4.9559 0.0000 0.0000 2.4780 4.2920 0.0000 2.4780 1.4307 4.0465" Properties=species:S:1:pos:R:3 pbc="T T T"
Np 7.4339 4.2920 3.0349
Pm 2.4780 1.4307 1.0116
Os 4.9559 2.8613 2.0232
Zn 0.0000 0.0000 0.0000
```

---

DFT (PBE) results for a relaxed structure of GaCoI2N.

Summary:
DOS at the Fermi energy   4.504 states/eV per cell
E_form (uncorrected)   321 meV/atom

```
5
Lattice="5.6201 0.0000 0.0000 0.0000 5.6201 0.0000 0.0000 0.0000 3.5286" Properties=species:S:1:pos:R:3 pbc="T T T"
Co 0.0000 0.0000 0.0000
I 0.0000 2.8101 0.0000
I 2.8101 0.0000 0.0000
Ga 2.8101 2.8101 1.7643
N 0.0000 0.0000 1.7643
```